--- A ---
DFT (PBE) results for crystalline HgBrF at its relaxed geometry.

Cell and atoms, written as CIF:
```
data_HgBrF
_chemical_formula_sum 'Hg2 Br2 F2'
_space_group_name_H-M_alt 'P 1'
_space_group_IT_number 1
_cell_length_a 3.985
_cell_length_b 7.580
_cell_length_c 6.644
_cell_angle_alpha 57.29
_cell_angle_beta 91.69
_cell_angle_gamma 85.00
loop_
_space_group_symop_operation_xyz
'x,y,z'
loop_
_atom_site_label
_atom_site_type_symbol
_atom_site_fract_x
_atom_site_fract_y
_atom_site_fract_z
Hg1 Hg 0.935 0.715 0.650
Hg2 Hg 0.425 0.278 0.205
Br1 Br 0.507 0.818 0.307
Br2 Br 0.853 0.175 0.548
F1 F 0.988 0.335 0.966
F2 F 0.372 0.657 0.889
```

Theoretical density = 5.94 g cm⁻³



--- B ---
DFT (PBE) results for crystalline HgBrF at its relaxed geometry.

Cell and atoms, written as CIF:
```
data_HgBrF
_chemical_formula_sum 'Hg1 Br1 F1'
_space_group_name_H-M_alt 'P 1'
_space_group_IT_number 1
_cell_length_a 5.555
_cell_length_b 3.919
_cell_length_c 3.919
_cell_angle_alpha 120.00
_cell_angle_beta 90.00
_cell_angle_gamma 90.00
loop_
_space_group_symop_operation_xyz
'x,y,z'
loop_
_atom_site_label
_atom_site_type_symbol
_atom_site_fract_x
_atom_site_fract_y
_atom_site_fract_z
Br1 Br 0.747 0.667 0.333
Hg1 Hg 0.043 0.000 0.000
F1 F 0.211 0.333 0.667
```

Theoretical density = 6.73 g cm⁻³



Stability check: which of them is most stable? A.



--- A ---
DFT (PBE) results for crystalline HgBr2F at its relaxed geometry.

Cell and atoms, written as CIF:
```
data_HgBr2F
_chemical_formula_sum 'Hg1 Br2 F1'
_space_group_name_H-M_alt 'P 1'
_space_group_IT_number 1
_cell_length_a 8.341
_cell_length_b 8.341
_cell_length_c 8.341
_cell_angle_alpha 30.85
_cell_angle_beta 30.85
_cell_angle_gamma 30.85
loop_
_space_group_symop_operation_xyz
'x,y,z'
loop_
_atom_site_label
_atom_site_type_symbol
_atom_site_fract_x
_atom_site_fract_y
_atom_site_fract_z
Br1 Br 0.102 0.102 0.102
Br2 Br 0.898 0.898 0.898
F1 F 0.500 0.500 0.500
Hg1 Hg 0.000 0.000 0.000
```

Theoretical density = 4.66 g cm⁻³



--- B ---
DFT (PBE) results for crystalline HgBr2F at its relaxed geometry.

Cell and atoms, written as CIF:
```
data_HgBr2F
_chemical_formula_sum 'Hg1 Br2 F1'
_space_group_name_H-M_alt 'P 1'
_space_group_IT_number 1
_cell_length_a 4.921
_cell_length_b 4.921
_cell_length_c 4.921
_cell_angle_alpha 60.00
_cell_angle_beta 60.00
_cell_angle_gamma 60.00
loop_
_space_group_symop_operation_xyz
'x,y,z'
loop_
_atom_site_label
_atom_site_type_symbol
_atom_site_fract_x
_atom_site_fract_y
_atom_site_fract_z
Br1 Br 0.250 0.250 0.250
Br2 Br 0.750 0.750 0.750
F1 F 0.000 0.000 0.000
Hg1 Hg 0.500 0.500 0.500
```

Theoretical density = 7.48 g cm⁻³



--- C ---
DFT (PBE) results for crystalline HgBr2F at its relaxed geometry.

Cell and atoms, written as CIF:
```
data_HgBr2F
_chemical_formula_sum 'Hg2 Br4 F2'
_space_group_name_H-M_alt 'P 1'
_space_group_IT_number 1
_cell_length_a 3.940
_cell_length_b 6.355
_cell_length_c 11.626
_cell_angle_alpha 90.00
_cell_angle_beta 90.00
_cell_angle_gamma 117.81
loop_
_space_group_symop_operation_xyz
'x,y,z'
loop_
_atom_site_label
_atom_site_type_symbol
_atom_site_fract_x
_atom_site_fract_y
_atom_site_fract_z
F1 F 0.710 0.534 0.250
F2 F 0.290 0.466 0.750
Hg1 Hg 0.113 0.314 0.250
Hg2 Hg 0.887 0.686 0.750
Br1 Br 0.529 0.010 0.118
Br2 Br 0.471 0.990 0.882
Br3 Br 0.471 0.990 0.618
Br4 Br 0.529 0.010 0.382
```

Theoretical density = 4.89 g cm⁻³



--- D ---
DFT (PBE) results for crystalline HgBr2F at its relaxed geometry.

Cell and atoms, written as CIF:
```
data_HgBr2F
_chemical_formula_sum 'Hg2 Br4 F2'
_space_group_name_H-M_alt 'P 1'
_space_group_IT_number 1
_cell_length_a 7.022
_cell_length_b 7.022
_cell_length_c 6.811
_cell_angle_alpha 58.97
_cell_angle_beta 58.97
_cell_angle_gamma 90.00
loop_
_space_group_symop_operation_xyz
'x,y,z'
loop_
_atom_site_label
_atom_site_type_symbol
_atom_site_fract_x
_atom_site_fract_y
_atom_site_fract_z
Br1 Br 0.635 0.125 0.250
Br2 Br 0.875 0.885 0.750
Br3 Br 0.115 0.625 0.250
Br4 Br 0.375 0.365 0.750
Hg1 Hg 0.000 0.000 0.000
Hg2 Hg 0.750 0.250 0.500
F1 F 0.500 0.500 0.000
F2 F 0.250 0.750 0.500
```

Theoretical density = 5.48 g cm⁻³



Stability check: which of them is most stable? C.



--- A ---
DFT (PBE) results for crystalline HgBrF3 at its relaxed geometry.

Cell and atoms, written as CIF:
```
data_HgBrF3
_chemical_formula_sum 'Hg1 Br1 F3'
_space_group_name_H-M_alt 'P 1'
_space_group_IT_number 1
_cell_length_a 4.515
_cell_length_b 4.515
_cell_length_c 4.515
_cell_angle_alpha 90.00
_cell_angle_beta 90.00
_cell_angle_gamma 90.00
loop_
_space_group_symop_operation_xyz
'x,y,z'
loop_
_atom_site_label
_atom_site_type_symbol
_atom_site_fract_x
_atom_site_fract_y
_atom_site_fract_z
F1 F 0.000 0.500 0.000
F2 F 0.500 0.000 0.000
F3 F 0.000 0.000 0.500
Br1 Br 0.500 0.500 0.500
Hg1 Hg 0.000 0.000 0.000
```

Theoretical density = 6.09 g cm⁻³



--- B ---
DFT (PBE) results for crystalline HgBrF3 at its relaxed geometry.

Cell and atoms, written as CIF:
```
data_HgBrF3
_chemical_formula_sum 'Hg1 Br1 F3'
_space_group_name_H-M_alt 'P 1'
_space_group_IT_number 1
_cell_length_a 4.516
_cell_length_b 4.516
_cell_length_c 4.516
_cell_angle_alpha 90.00
_cell_angle_beta 90.00
_cell_angle_gamma 90.00
loop_
_space_group_symop_operation_xyz
'x,y,z'
loop_
_atom_site_label
_atom_site_type_symbol
_atom_site_fract_x
_atom_site_fract_y
_atom_site_fract_z
F1 F 0.000 0.500 0.000
F2 F 0.000 0.000 0.500
F3 F 0.500 0.000 0.000
Hg1 Hg 0.500 0.500 0.500
Br1 Br 0.000 0.000 0.000
```

Theoretical density = 6.08 g cm⁻³



--- C ---
DFT (PBE) results for crystalline HgBrF3 at its relaxed geometry.

Cell and atoms, written as CIF:
```
data_HgBrF3
_chemical_formula_sum 'Hg2 Br2 F6'
_space_group_name_H-M_alt 'P 1'
_space_group_IT_number 1
_cell_length_a 6.602
_cell_length_b 7.096
_cell_length_c 7.231
_cell_angle_alpha 90.81
_cell_angle_beta 52.13
_cell_angle_gamma 58.45
loop_
_space_group_symop_operation_xyz
'x,y,z'
loop_
_atom_site_label
_atom_site_type_symbol
_atom_site_fract_x
_atom_site_fract_y
_atom_site_fract_z
Br1 Br 0.539 0.680 0.913
Br2 Br 0.011 0.450 0.434
F1 F 0.061 0.920 0.391
F2 F 0.043 0.192 0.927
F3 F 0.737 0.723 0.405
F4 F 0.515 0.203 0.950
F5 F 0.327 0.535 0.606
F6 F 0.322 0.158 0.421
Hg1 Hg 0.474 0.192 0.658
Hg2 Hg 0.103 0.928 0.693
```

Theoretical density = 5.67 g cm⁻³



Stability check: which of them is most stable? C.



--- A ---
DFT (PBE) results for crystalline Hg2BrF at its relaxed geometry.

Cell and atoms, written as CIF:
```
data_Hg2BrF
_chemical_formula_sum 'Hg4 Br2 F2'
_space_group_name_H-M_alt 'P 1'
_space_group_IT_number 1
_cell_length_a 4.068
_cell_length_b 7.619
_cell_length_c 7.635
_cell_angle_alpha 80.99
_cell_angle_beta 77.03
_cell_angle_gamma 87.51
loop_
_space_group_symop_operation_xyz
'x,y,z'
loop_
_atom_site_label
_atom_site_type_symbol
_atom_site_fract_x
_atom_site_fract_y
_atom_site_fract_z
Hg1 Hg 0.040 0.956 0.024
Hg2 Hg 0.538 0.457 0.523
Hg3 Hg 0.243 0.186 0.442
Hg4 Hg 0.833 0.728 0.605
Br1 Br 0.431 0.219 0.968
Br2 Br 0.651 0.692 0.079
F1 F 0.893 0.008 0.365
F2 F 0.184 0.905 0.682
```

Theoretical density = 7.29 g cm⁻³



--- B ---
DFT (PBE) results for crystalline Hg2BrF at its relaxed geometry.

Cell and atoms, written as CIF:
```
data_Hg2BrF
_chemical_formula_sum 'Hg4 Br2 F2'
_space_group_name_H-M_alt 'P 1'
_space_group_IT_number 1
_cell_length_a 4.814
_cell_length_b 4.391
_cell_length_c 11.576
_cell_angle_alpha 90.00
_cell_angle_beta 105.46
_cell_angle_gamma 90.00
loop_
_space_group_symop_operation_xyz
'x,y,z'
loop_
_atom_site_label
_atom_site_type_symbol
_atom_site_fract_x
_atom_site_fract_y
_atom_site_fract_z
Hg1 Hg 0.862 0.500 0.157
Hg2 Hg 0.862 0.000 0.657
Hg3 Hg 0.697 0.500 0.923
Hg4 Hg 0.697 0.000 0.423
F1 F 0.628 0.500 0.731
F2 F 0.628 0.000 0.231
Br1 Br 0.178 0.500 0.377
Br2 Br 0.178 0.000 0.877
```

Theoretical density = 7.04 g cm⁻³



Stability check: which of them is most stable? B.



--- A ---
DFT (PBE) results for crystalline Hg2BrF at its relaxed geometry.

Cell and atoms, written as CIF:
```
data_Hg2BrF
_chemical_formula_sum 'Hg6 Br3 F3'
_space_group_name_H-M_alt 'P 1'
_space_group_IT_number 1
_cell_length_a 5.881
_cell_length_b 5.881
_cell_length_c 11.980
_cell_angle_alpha 90.00
_cell_angle_beta 90.00
_cell_angle_gamma 120.00
loop_
_space_group_symop_operation_xyz
'x,y,z'
loop_
_atom_site_label
_atom_site_type_symbol
_atom_site_fract_x
_atom_site_fract_y
_atom_site_fract_z
F1 F 0.000 0.647 0.833
F2 F 0.647 0.000 0.500
F3 F 0.353 0.353 0.167
Hg1 Hg 0.324 0.852 0.687
Hg2 Hg 0.852 0.324 0.646
Hg3 Hg 0.472 0.148 0.313
Hg4 Hg 0.148 0.472 0.020
Hg5 Hg 0.676 0.528 0.980
Hg6 Hg 0.528 0.676 0.354
Br1 Br 0.000 0.639 0.333
Br2 Br 0.361 0.361 0.667
Br3 Br 0.639 0.000 0.000
```

Theoretical density = 6.94 g cm⁻³



--- B ---
DFT (PBE) results for crystalline Hg2BrF at its relaxed geometry.

Cell and atoms, written as CIF:
```
data_Hg2BrF
_chemical_formula_sum 'Hg2 Br1 F1'
_space_group_name_H-M_alt 'P 1'
_space_group_IT_number 1
_cell_length_a 4.082
_cell_length_b 5.745
_cell_length_c 6.203
_cell_angle_alpha 115.11
_cell_angle_beta 90.28
_cell_angle_gamma 103.27
loop_
_space_group_symop_operation_xyz
'x,y,z'
loop_
_atom_site_label
_atom_site_type_symbol
_atom_site_fract_x
_atom_site_fract_y
_atom_site_fract_z
Hg1 Hg 0.896 0.779 0.638
Hg2 Hg 0.440 0.322 0.459
Br1 Br 0.430 0.152 0.897
F1 F 0.975 0.012 0.372
```

Theoretical density = 6.52 g cm⁻³



Stability check: which of them is most stable? B.